1.
BaLiCaAl: optimized geometry, PBE-GGA.

The structure belongs to space group F-43m (No. 216); the cell edges are 8.043, 8.043 and 8.043 Å and the angles 90.00°, 90.00° and 90.00°. The asymmetric unit holds Ba at (0.000, 0.000, 0.000), Li at (0.250, 0.250, 0.250), Ca at (0.000, 0.000, 0.500) and Al at (0.250, 0.250, 0.750).

The value obtained for the calculated density is 2.70 g/cm³. The energy of formation is -0.23 eV/f.u. Its calculated total energy is -2.453 eV per atom.

=====

2.
Ba2CaMg12Al3: optimized geometry, PBE-GGA.

The structure belongs to space group R-3m (No. 166, hexagonal axes); the cell edges are 8.9236, 8.9236 and 25.0073 Å and the angles 90.00°, 90.00° and 120.00°. The asymmetric unit holds Ba at (0.0000, 0.0000, 0.0875), Ca at (0.0000, 0.0000, 0.5000), Mg at (0.0882, 0.5441, 0.8798), Mg at (0.1022, 0.5511, 0.2727) and Al at (0.0000, 0.5000, 0.0000).

The value obtained for the calculated density is 1.99 g/cm³. The energy of formation is 5.14 eV/f.u. Its calculated total energy is -1.726 eV per atom.